1.
Entry from the Alexandria database: an optimized crystal structure of KB2TeO6 (PBE).

The structure in extended XYZ format:
```
20
Lattice="6.871 -0.360 -0.374 1.651 6.191 -0.394 1.651 -0.624 6.172" Properties=species:S:1:pos:R:3 pbc="T T T"
K 3.369 5.412 0.176
K 6.804 -0.205 5.228
B 4.383 4.537 3.280
B 2.355 2.278 0.936
B 5.790 0.671 2.124
B 7.819 2.929 4.468
Te 3.369 1.526 3.921
Te 6.804 3.681 1.483
O 2.578 -0.387 4.222
O 4.160 1.154 5.821
O 7.596 5.594 1.182
O 6.013 4.054 -0.417
O 4.925 4.304 2.037
O 1.813 3.512 1.214
O 5.248 0.903 3.367
O 8.361 1.696 4.190
O 3.845 3.565 4.108
O 2.893 1.414 1.876
O 6.328 1.642 1.296
O 7.280 3.793 3.528
```

- VASP energy: -6.530 eV/atom
- Crystal system: monoclinic

=====

2.
Entry from the Alexandria database: an optimized crystal structure of CsRb2GeAu (PBE).

The structure in extended XYZ format:
```
5
Lattice="-6.705 1.659 0.077 -1.245 -4.809 -4.800 -0.782 -3.327 3.536" Properties=species:S:1:pos:R:3 pbc="T T T"
Cs -4.366 -3.238 -0.593
Ge -0.391 -1.664 1.768
Au 0.000 0.000 0.000
Rb -0.623 -2.405 -2.400
Rb -3.353 0.830 0.039
```

- Calculated formation energy: -0.022 eV/atom
- Crystal system: tetragonal